(1)
An optimized crystal structure of Zn5Ag4. Source: Alexandria, functional GGA-PBEsol.

Summary:
Its energy is -2.3729 eV per atom. Its formation energy is -0.02 eV per atom. The offset from the most stable computed form is 0.07 eV per formula unit.

extended XYZ file:
```
18
Lattice="-4.696 -2.069 1.642 3.103 -1.649 6.793 -3.375 6.772 -1.120" Properties=species:S:1:pos:R:3 pbc="T T T"
Ag -2.348 -1.034 0.821
Zn -1.216 3.965 1.518
Zn -3.605 0.021 2.973
Zn 0.944 1.158 4.156
Zn -0.222 -1.023 2.496
Zn -2.210 1.561 0.067
Zn -1.404 0.123 4.977
Ag -3.325 3.799 -0.303
Zn -1.371 -2.695 5.940
Zn -1.362 3.033 4.343
Ag -4.746 0.904 0.826
Zn -3.563 2.930 2.339
Ag -3.695 1.713 4.848
Ag 0.000 0.000 0.000
Ag -1.273 1.341 2.468
Zn -5.861 3.142 0.456
Ag -2.396 -2.150 3.696
Ag 0.804 -1.568 4.740
```

***

(2)
An optimized crystal structure of Zn3Ag2. Source: Alexandria, functional GGA-PBEsol.

Summary:
Its energy is -2.2214 eV per atom. Its formation energy is 0.05 eV per atom. The offset from the most stable computed form is 0.51 eV per formula unit.

extended XYZ file:
```
5
Lattice="4.302 0.000 0.000 -2.151 3.726 0.000 0.000 0.000 5.235" Properties=species:S:1:pos:R:3 pbc="T T T"
Ag 0.000 2.484 4.459
Ag 2.151 1.242 0.776
Zn 0.000 0.000 0.000
Zn 2.151 1.242 3.328
Zn 0.000 2.484 1.907
```

***

(3)
An optimized crystal structure of ZnAg. Source: Alexandria, functional GGA-PBEsol.

Summary:
Its energy is -2.4387 eV per atom. Its formation energy is 0.01 eV per atom.

extended XYZ file:
```
4
Lattice="-1.597 -1.457 -1.657 -0.372 -3.068 3.055 -3.437 3.169 2.764" Properties=species:S:1:pos:R:3 pbc="T T T"
Zn -3.882 -1.413 2.745
Zn -1.523 0.057 1.418
Ag -3.651 1.284 2.390
Ag -1.754 -2.639 1.773
```

***

(4)
An optimized crystal structure of Zn3Ag2. Source: Alexandria, functional GGA-PBEsol.

Summary:
Its energy is -2.3015 eV per atom. Its formation energy is -0.03 eV per atom. The offset from the most stable computed form is 0.11 eV per formula unit.

extended XYZ file:
```
5
Lattice="2.970 0.000 0.000 0.000 3.600 0.000 -1.485 -1.800 7.031" Properties=species:S:1:pos:R:3 pbc="T T T"
Ag 1.485 1.800 4.316
Zn 0.000 0.000 5.660
Zn 1.485 1.800 1.371
Ag 0.000 0.000 2.716
Zn 0.000 0.000 0.000
```

***

(5)
An optimized crystal structure of ZnAg2. Source: Alexandria, functional GGA-PBEsol.

Summary:
Its energy is -2.7839 eV per atom. Its formation energy is -0.05 eV per atom. The offset from the most stable computed form is 0.06 eV per formula unit.

extended XYZ file:
```
3
Lattice="2.857 0.000 0.000 0.000 2.857 0.000 -1.429 -1.429 5.728" Properties=species:S:1:pos:R:3 pbc="T T T"
Zn 0.000 0.000 0.000
Ag 0.000 0.000 3.898
Ag 1.429 1.429 1.829
```

***

(6)
An optimized crystal structure of ZnAg2. Source: Alexandria, functional GGA-PBEsol.

Summary:
Its energy is -2.7771 eV per atom. Its formation energy is -0.04 eV per atom. The offset from the most stable computed form is 0.09 eV per formula unit.

extended XYZ file:
```
6
Lattice="2.871 0.000 0.000 -1.436 4.864 -0.281 0.000 -2.262 6.822" Properties=species:S:1:pos:R:3 pbc="T T T"
Zn 1.436 0.488 4.020
Ag 0.000 1.253 6.132
Zn 0.000 2.114 2.521
Ag 1.436 3.236 4.561
Ag 1.436 1.349 0.409
Ag 0.000 -0.634 1.981
```

***

- Which value of energy does entry 4 give?
  -2.3015 eV per atom